Here is crystalline MgCdSi2 at its relaxed geometry from Alexandria via LeMat-Bulk. Energies are from PBE-GGA.

Structure (CIF):
```
data_MgCdSi2
_cell_length_a 5.2909
_cell_length_b 5.2909
_cell_length_c 5.2909
_cell_angle_alpha 134.51
_cell_angle_beta 134.51
_cell_angle_gamma 66.28
_symmetry_space_group_name_H-M 'P 1'
_symmetry_Int_Tables_number 1
loop_
_symmetry_equiv_pos_as_xyz
'x,y,z'
loop_
_atom_site_label
_atom_site_fract_x
_atom_site_fract_y
_atom_site_fract_z
Mg1 0.0000 0.0000 0.0000
Cd1 0.7500 0.2500 0.5000
Si1 0.2500 0.7500 0.5000
Si2 0.5000 0.5000 0.0000
```

The distance to the lowest polymorph of the same formula comes out at 78 meV/atom. The value obtained for the raw formation energy is 0.29 eV/atom. For the total energy, the calculation gives -0.2240 Ry per atom. The magnetization is 0.00 μB per formula unit. The value obtained for the density of states at the Fermi level is 0.35 states/eV/atom. Its symmetry is I-4m2, No. 119.